1.
8
Lattice="3.126 0.000 0.000 0.000 4.544 0.000 0.000 0.000 9.130" Properties=species:S:1:pos:R:3 comment="Li3Pt (PBE, optimized geometry)" delta_e_f_ev_per_fu=-1.083 total_magnetization_mub_per_fu=0.00 space_group="Cmmm (65)" pbc="T T T"
Li 0.000 0.000 0.000
Li 0.000 2.272 2.575
Li 0.000 2.272 6.555
Li 1.563 0.000 2.575
Li 1.563 0.000 6.555
Li 1.563 2.272 0.000
Pt 0.000 0.000 4.565
Pt 1.563 2.272 4.565



2.
5
Lattice="4.536 0.000 0.000 0.000 4.536 0.000 0.000 0.000 4.536" Properties=species:S:1:pos:R:3 comment="MnSi3Sb (PBE, optimized geometry)" raw_formation_energy_kj_per_mol_atoms=39.9 total_magnetization_mub_per_fu=1.85 space_group="Pm-3m (221)" pbc="T T T"
Mn 0.000 0.000 0.000
Si 0.000 0.000 2.268
Si 0.000 2.268 0.000
Si 2.268 0.000 0.000
Sb 2.268 2.268 2.268



3.
12
Lattice="3.474 -6.017 0.000 3.474 6.017 0.000 -2.315 0.000 7.015" Properties=species:S:1:pos:R:3 comment="Na3Mg2PaSe6 (PBE, optimized geometry)" raw_formation_energy_kj_per_mol_atoms=-126.0 total_magnetization_mub_per_fu=0.00 space_group="C2/m (12)" pbc="T T T"
Na 0.000 0.000 0.000
Na 3.474 2.007 0.000
Na 3.474 -2.007 0.000
Mg 2.317 4.013 3.508
Mg 2.317 -4.013 3.508
Pa 2.317 0.000 3.508
Se 1.157 2.011 1.946
Se -0.004 0.000 5.064
Se 1.157 -2.011 1.946
Se 3.477 2.011 5.069
Se 4.638 0.000 1.951
Se 3.477 -2.011 5.069



4.
5
Lattice="4.678 0.000 0.000 0.000 4.678 0.000 0.000 0.000 5.244" Properties=species:S:1:pos:R:3 comment="NaCuTcMo2 (PBE, optimized geometry)" delta_e_f_ev_per_fu=8.618 total_magnetization_mub_per_fu=2.50 space_group="P4/mmm (123)" pbc="T T T"
Na 0.000 0.000 0.000
Cu 2.339 2.339 0.000
Tc 0.000 0.000 2.622
Mo 0.000 2.339 2.622
Mo 2.339 0.000 2.622



5.
8
Lattice="5.752 0.000 0.000 0.000 5.752 0.000 0.000 0.000 5.752" Properties=species:S:1:pos:R:3 comment="Ho4SiSe3 (PBE, optimized geometry)" raw_formation_energy_kj_per_mol_atoms=-151.2 total_magnetization_mub_per_fu=0.00 space_group="Pm-3m (221)" pbc="T T T"
Ho 0.000 0.000 0.000
Ho 0.000 2.876 2.876
Ho 2.876 0.000 2.876
Ho 2.876 2.876 0.000
Si 2.876 2.876 2.876
Se 0.000 0.000 2.876
Se 0.000 2.876 0.000
Se 2.876 0.000 0.000



6.
8
Lattice="2.752 0.000 0.000 0.000 4.657 0.000 0.000 0.000 8.437" Properties=species:S:1:pos:R:3 comment="BePtRh2 (PBE, optimized geometry)" delta_e_f_ev_per_fu=-0.370 total_magnetization_mub_per_fu=0.00 space_group="Cmm2 (35)" pbc="T T T"
Be 0.000 0.000 0.000
Be 1.376 2.328 0.000
Pt 0.000 2.328 1.852
Pt 1.376 0.000 1.852
Rh 0.000 0.000 4.306
Rh 0.000 2.328 6.631
Rh 1.376 0.000 6.631
Rh 1.376 2.328 4.306



7.
10
Lattice="4.397 0.000 0.000 0.000 4.397 0.000 0.000 0.000 15.809" Properties=species:S:1:pos:R:3 comment="Cd2Bi2Pb (PBE, optimized geometry)" delta_e_f_ev_per_fu=0.353 total_magnetization_mub_per_fu=0.00 space_group="I4/mmm (139)" pbc="T T T"
Cd 0.000 2.199 3.952
Cd 0.000 2.199 11.857
Cd 2.199 0.000 3.952
Cd 2.199 0.000 11.857
Bi 0.000 0.000 1.727
Bi 0.000 0.000 14.083
Bi 2.199 2.199 6.178
Bi 2.199 2.199 9.631
Pb 0.000 0.000 7.905
Pb 2.199 2.199 0.000



8.
12
Lattice="3.826 0.000 0.000 -1.913 3.314 0.000 0.000 0.000 17.819" Properties=species:S:1:pos:R:3 comment="ScS2N (PBE, optimized geometry)" raw_formation_energy_kj_per_mol_atoms=-18.1 total_magnetization_mub_per_fu=0.00 space_group="R-3m (166)" pbc="T T T"
Sc 0.000 0.000 0.000
Sc 0.000 2.209 11.879
Sc 1.913 1.105 5.940
S 0.000 0.000 7.328
S 0.000 0.000 10.491
S 0.000 2.209 1.389
S 0.000 2.209 4.551
S 1.913 1.105 13.268
S 1.913 1.105 16.431
N 0.000 0.000 8.910
N 0.000 2.209 2.970
N 1.913 1.105 14.849